The following is a PBE calculation of a relaxed structure of AcPr2Dy2Tm2, from Alexandria via LeMat-Bulk.

Geometry as extended XYZ:
```
7
Lattice="5.7795 -2.5756 0.0000 5.7795 2.5756 0.0000 -1.1989 0.0000 8.0350" Properties=species:S:1:pos:R:3 pbc="T T T"
Ac 0.0000 0.0000 0.0000
Pr 2.2782 0.0000 6.8028
Pr 8.0818 0.0000 1.2321
Dy 4.5661 0.0000 2.3761
Dy 5.7939 0.0000 5.6589
Tm 1.1188 0.0000 3.4838
Tm 9.2412 0.0000 4.5512
```

Results
final energy: -4.499 eV per atom
space group: C2/m, No. 12

=====

The following is a PBE calculation of a relaxed structure of AcPrDyTm2, from Alexandria via LeMat-Bulk.

Geometry as extended XYZ:
```
10
Lattice="6.4211 0.0000 0.0000 0.0000 5.8366 0.0000 -3.0390 0.0000 9.2065" Properties=species:S:1:pos:R:3 pbc="T T T"
Ac -0.5191 1.4591 2.8502
Ac 3.9012 4.3774 6.3563
Pr 0.5831 4.3774 0.8988
Pr 2.7990 1.4591 8.3077
Dy 0.6876 4.3774 4.6334
Dy 2.6945 1.4591 4.5731
Tm -0.3258 1.4591 6.5402
Tm 2.6928 1.4591 0.9049
Tm 0.6893 4.3774 8.3016
Tm 3.7079 4.3774 2.6663
```

Results
final energy: -4.438 eV per atom
space group: P2_1/m, No. 11

=====

The following is a PBE calculation of a relaxed structure of AcPr2DyTm4, from Alexandria via LeMat-Bulk.

Geometry as extended XYZ:
```
16
Lattice="-3.4470 5.9699 6.7148 3.4470 -5.9699 6.7148 3.4470 5.9699 -6.7148" Properties=species:S:1:pos:R:3 pbc="T T T"
Ac 0.0000 0.0000 0.0000
Ac 0.0000 5.9699 0.0000
Pr 3.4470 0.0000 0.0000
Pr -1.7235 2.9849 3.3574
Pr 0.0000 0.0000 6.7148
Pr 1.7235 2.9849 3.3574
Dy 1.7235 2.9849 -3.3574
Dy 1.7235 -2.9849 3.3574
Tm 3.4470 -0.0681 3.2463
Tm 1.8090 2.9849 -0.0703
Tm 5.0849 2.9849 -0.0703
Tm 3.4470 5.9018 -3.2463
Tm 0.0000 0.0681 9.9610
Tm -1.6380 2.9849 6.7850
Tm 1.6380 2.9849 6.7850
Tm 0.0000 6.0380 3.4685
```

Results
final energy: -4.090 eV per atom
space group: Imma, No. 74

=====

The following is a PBE calculation of a relaxed structure of AcPrDy2Tm, from Alexandria via LeMat-Bulk.

Geometry as extended XYZ:
```
10
Lattice="3.2346 -8.8460 0.0000 3.2346 8.8460 0.0000 0.0000 0.0000 6.4823" Properties=species:S:1:pos:R:3 pbc="T T T"
Ac 3.2346 6.0404 4.8617
Ac 3.2346 -6.0404 1.6206
Pr 3.2346 2.7149 4.8617
Pr 3.2346 -2.7149 1.6206
Dy 1.6233 0.0000 0.0000
Dy 1.6233 0.0000 3.2412
Dy 4.8459 0.0000 0.0000
Dy 4.8459 0.0000 3.2412
Tm 3.2346 4.5135 1.6206
Tm 3.2346 -4.5135 4.8617
```

Results
final energy: -4.122 eV per atom
space group: Cmcm, No. 63

=====

The following is a PBE calculation of a relaxed structure of AcPrDyY, from Alexandria via LeMat-Bulk.

Geometry as extended XYZ:
```
4
Lattice="6.4022 -3.0297 0.0000 6.4022 3.0297 0.0000 -1.2031 0.0000 3.7376" Properties=species:S:1:pos:R:3 pbc="T T T"
Ac 0.0000 0.0000 0.0000
Pr 9.0885 0.0000 0.8546
Dy 5.7020 0.0000 1.8317
Y 2.4047 0.0000 2.8274
```

Results
final energy: -4.880 eV per atom
energy relative to the lowest polymorph listed for this composition: 0.006 eV/atom
space group: Cm, No. 8

=====

The following is a PBE calculation of a relaxed structure of AcPr6DyY2, from Alexandria via LeMat-Bulk.

Geometry as extended XYZ:
```
20
Lattice="4.8000 -7.7427 0.0000 4.8000 7.7427 0.0000 -0.9325 0.0000 9.7531" Properties=species:S:1:pos:R:3 pbc="T T T"
Ac 4.1006 7.2294 7.3148
Ac 4.5668 -7.2294 2.4383
Pr 2.0238 4.2444 6.6645
Pr 4.1423 4.9615 0.5466
Pr 4.9913 4.9615 4.3299
Pr 3.0695 1.7437 8.6112
Pr 6.1774 4.2444 7.9650
Pr 5.1317 1.7437 6.0184
Pr 3.5357 -1.7437 3.7347
Pr 2.4901 -4.2444 1.7880
Pr 5.5979 -1.7437 1.1418
Pr 3.6761 -4.9615 5.4232
Pr 4.5251 -4.9615 9.2064
Pr 6.6436 -4.2444 3.0885
Dy 4.5668 1.3630 2.4383
Dy 4.1006 -1.3630 7.3148
Y 1.9606 0.7793 5.3661
Y 2.4269 -0.7793 0.4896
Y 6.2406 0.7793 9.2634
Y 6.7068 -0.7793 4.3869
```

Results
final energy: -4.914 eV per atom
space group: C2/c, No. 15